Record 1
Compound: Ac6Pb5Au
Source: Alexandria via LeMat-Bulk
Functional: PBE-GGA
Structure: relaxed

Its uncorrected energy is -105.38 eV per cell. The calculation puts the formation energy at -6.2 eV/f.u.

It has space group C2/m (No. 12), with a = 10.581 Å, b = 16.736 Å, c = 5.530 Å, α = 90.00°, β = 121.46° and γ = 90.00°. Symmetry generates all atoms from Ac at (0.227, 0.000, 0.226), Ac at (0.240, 0.165, 0.740), Pb at (0.000, 0.174, 0.000), Pb at (0.000, 0.346, 0.500), Pb at (0.000, 0.500, 0.000) and Au at (0.000, 0.000, 0.500).

Record 2
Compound: VWSe2
Source: Alexandria via LeMat-Bulk
Functional: PBE-GGA
Structure: relaxed

Its uncorrected energy is -110.43 eV per cell. The calculation puts the offset from the most stable computed form at 280 meV/atom. The uncorrected formation energy comes out at 1.4 eV per formula unit.

It has space group I-42d (No. 122), with a = 5.715 Å, b = 5.715 Å, c = 11.268 Å, α = 90.00°, β = 90.00° and γ = 90.00°. Symmetry generates all atoms from V at (0.000, 0.000, 0.000), W at (0.000, 0.000, 0.500) and Se at (0.250, 0.250, 0.125).

Record 3
Compound: AgAu2
Source: Alexandria via LeMat-Bulk
Functional: PBE-GGA
Structure: relaxed

Its uncorrected energy is -36.99 eV per cell. The calculation puts the offset from the most stable computed form at 94 meV/atom. The calculation puts the formation energy at 0.2 eV/f.u.

It has space group Imma (No. 74), with a = 2.836 Å, b = 4.258 Å, c = 19.762 Å, α = 90.00°, β = 90.00° and γ = 90.00°. Symmetry generates all atoms from Ag at (0.000, 0.250, 0.115), Au at (0.000, 0.250, 0.544) and Au at (0.000, 0.250, 0.689).

Record 4
Compound: Nd2MgCd16
Source: Alexandria via LeMat-Bulk
Functional: PBE-GGA
Structure: relaxed

Its uncorrected energy is -86.65 eV per cell. The calculation puts the formation energy at -3.1 eV/f.u.

It has space group R3m (No. 160, hexagonal axes), with a = 10.0803 Å, b = 10.0803 Å, c = 15.0156 Å, α = 90.00°, β = 90.00° and γ = 120.00°. Symmetry generates all atoms from Nd at (0.0000, 0.0000, 0.0000), Nd at (0.0000, 0.0000, 0.3353), Mg at (0.0000, 0.0000, 0.7615), Cd at (0.0000, 0.0000, 0.5607), Cd at (0.0101, 0.5051, 0.8143), Cd at (0.0355, 0.3682, 0.3349), Cd at (0.1712, 0.3423, 0.5028) and Cd at (0.1747, 0.3495, 0.8544).